[1]
A plane-wave DFT calculation with PBE-GGA was carried out for crystalline KBe at its relaxed geometry.

Computed properties:
DOS(E_F) = 11.32 states/eV/cell
Calculated total energy = -1.693 eV per atom
E_form = 0.72 eV per atom
Crystal system = hexagonal

a = 12.062 Å, b = 12.062 Å, c = 4.170 Å
α = 90.00°, β = 90.00°, γ = 120.00°
Positions (direct):
Be 0.987 0.494 0.750
K 0.215 0.785 0.750
Be 0.506 0.494 0.750
Be 0.013 0.506 0.250
Be 0.494 0.506 0.250
K 0.429 0.215 0.250
Be 0.494 0.987 0.250
Be 0.506 0.013 0.750
K 0.785 0.215 0.250
K 0.785 0.571 0.250
K 0.571 0.785 0.750
K 0.215 0.429 0.750


[2]
A plane-wave DFT calculation with PBE-GGA was carried out for crystalline K3Be at its relaxed geometry.

Computed properties:
DOS(E_F) = 2.96 states/eV/cell
Calculated total energy = -1.111 eV per atom
E_form = 0.64 eV per atom
Crystal system = tetragonal

a = 6.475 Å, b = 6.475 Å, c = 6.475 Å
α = 123.26°, β = 123.26°, γ = 84.45°
Positions (direct):
K 0.250 0.750 0.500
K 0.500 0.500 0.000
K 0.750 0.250 0.500
Be 0.000 0.000 0.000


[3]
A plane-wave DFT calculation with PBE-GGA was carried out for crystalline KBe at its relaxed geometry.

Computed properties:
DOS(E_F) = 20.38 states/eV/cell
Calculated total energy = -0.837 eV per atom
E_form = 1.57 eV per atom
Crystal system = cubic

a = 9.475 Å, b = 9.475 Å, c = 9.475 Å
α = 90.00°, β = 90.00°, γ = 90.00°
Positions (direct):
Be 0.250 0.000 0.500
K 0.750 0.500 0.000
K 0.000 0.750 0.500
Be 0.500 0.750 0.000
Be 0.500 0.250 0.000
Be 0.000 0.500 0.750
Be 0.750 0.000 0.500
Be 0.000 0.500 0.250
K 0.500 0.000 0.750
K 0.500 0.000 0.250
K 0.000 0.250 0.500
K 0.250 0.500 0.000


[4]
A plane-wave DFT calculation with PBE-GGA was carried out for crystalline KBe at its relaxed geometry.

Computed properties:
DOS(E_F) = 9.19 states/eV/cell
Calculated total energy = -1.707 eV per atom
E_form = 0.70 eV per atom
Crystal system = orthorhombic

a = 10.322 Å, b = 6.299 Å, c = 7.539 Å
α = 90.00°, β = 90.00°, γ = 90.00°
Positions (direct):
Be 0.500 0.904 0.113
K 0.668 0.375 0.250
Be 0.000 0.596 0.887
Be 0.000 0.596 0.613
K 0.832 0.125 0.750
Be 0.500 0.096 0.887
Be 0.000 0.404 0.113
K 0.832 0.875 0.250
K 0.332 0.625 0.750
K 0.168 0.125 0.750
K 0.668 0.625 0.750
K 0.168 0.875 0.250
Be 0.500 0.096 0.613
K 0.332 0.375 0.250
Be 0.500 0.904 0.387
Be 0.000 0.404 0.387